Sc2AlCd at its PBEsol-relaxed geometry. Source: Alexandria via LeMat-Bulk, functional meta-GGA SCAN.

a b c (Å): 3.1169 4.0727 6.2733
angles (deg): 90.00 90.00 90.00
With the nearest neighbours (Å) after each atom.
Space group Pmmm (No. 47)
One atom of each set of equivalent atoms:
1 Sc 0.0000 0.0000 0.2404 x2  4 Al 2.97, 4 Sc 3.02-3.26, 4 Cd 3.04
2 Al 0.5000 0.5000 0.0000 x1  8 Sc 2.97, 2 Al 3.12, 2 Cd 3.14
3 Cd 0.5000 0.5000 0.5000 x1  8 Sc 3.04, 2 Cd 3.12, 2 Al 3.14

Computed properties:
- Magnetization: 0.34 μB/f.u.
- Formation energy: -1.67 eV per formula unit